Density functional theory data (PBE-GGA) for HfSc2Ir after structural relaxation.

Cell: 6.6911 6.6911 6.6911 Å, 90.00 90.00 90.00°
Last column: nearest neighbours and their distance in Å.
Element x y z (fractional)
Hf 0.0000 0.0000 0.0000  4 Sc 2.90, 4 Ir 2.90
Hf 0.0000 0.5000 0.5000  4 Sc 2.90, 4 Ir 2.90
Hf 0.5000 0.0000 0.5000  4 Sc 2.90, 4 Ir 2.90
Hf 0.5000 0.5000 0.0000  4 Sc 2.90, 4 Ir 2.90
Sc 0.0000 0.0000 0.5000  4 Sc 2.90, 4 Ir 2.90
Sc 0.0000 0.5000 0.0000  4 Sc 2.90, 4 Ir 2.90
Sc 0.2500 0.2500 0.2500  4 Hf 2.90, 4 Sc 2.90
Sc 0.2500 0.7500 0.7500  4 Hf 2.90, 4 Sc 2.90
Sc 0.5000 0.0000 0.0000  4 Sc 2.90, 4 Ir 2.90
Sc 0.5000 0.5000 0.5000  4 Sc 2.90, 4 Ir 2.90
Sc 0.7500 0.2500 0.7500  4 Hf 2.90, 4 Sc 2.90
Sc 0.7500 0.7500 0.2500  4 Hf 2.90, 4 Sc 2.90
Ir 0.2500 0.2500 0.7500  4 Hf 2.90, 4 Sc 2.90
Ir 0.2500 0.7500 0.2500  4 Hf 2.90, 4 Sc 2.90
Ir 0.7500 0.2500 0.2500  4 Hf 2.90, 4 Sc 2.90
Ir 0.7500 0.7500 0.7500  4 Hf 2.90, 4 Sc 2.90

Properties
Formation enthalpy at 0 K   -1.56 eV/f.u.